Entry 1:
DFT (GGA-PBE) results for a relaxed InAuBr2 crystal.

```
4
Lattice="4.0326 0.0000 0.0000 0.0000 4.0322 -0.2655 0.0000 0.7883 7.5448" Properties=species:S:1:pos:R:3 pbc="T T T"
Br 0.0000 3.8932 7.2935
Br 0.0000 3.3376 3.6254
Au 2.0163 3.6154 5.4594
In 2.0163 1.2051 1.8198
```

Output
- Energy relative to the elements, uncorrected: -0.22 eV/atom
- Calculated total energy: -10.24 eV per cell

---

Entry 2:
DFT (GGA-PBE) results for a relaxed TlZn2Rh2 crystal.

```
5
Lattice="4.4637 0.0000 0.0000 0.0000 4.4637 0.0000 2.2318 2.2318 4.5018" Properties=species:S:1:pos:R:3 pbc="T T T"
Rh 2.2318 4.4637 2.2509
Rh 4.4637 2.2318 2.2509
Zn 4.4637 4.4637 3.2995
Zn 2.2318 2.2318 1.2023
Tl 0.0000 0.0000 0.0000
```

Output
- Calculated formation energy: 103 meV/atom
- Calculated total energy: -19.10 eV per cell

---

Entry 3:
DFT (GGA-PBE) results for a relaxed V7Tc2Mo3 crystal.

```
12
Lattice="4.3117 0.0000 0.0000 0.0000 4.1565 -0.8255 0.0000 -0.1116 10.3149" Properties=species:S:1:pos:R:3 pbc="T T T"
Mo 2.1559 2.0783 -0.4128
Mo 2.1559 2.6819 2.6266
Mo 2.1559 1.3630 6.8628
V 0.0000 0.0000 0.0000
V 2.1559 3.7440 7.9743
V 0.0000 1.6768 8.4426
V 0.0000 1.1154 5.6160
V 0.0000 2.3681 1.0468
V 0.0000 2.9295 3.8734
V 2.1559 0.3009 1.5151
Tc 0.0000 3.4671 6.5799
Tc 0.0000 0.5779 2.9095
```

Output
- Calculated formation energy: 216 meV/atom
- Calculated total energy: -114.46 eV per cell

---

Entry 4:
DFT (GGA-PBE) results for a relaxed NdHoSc crystal.

```
6
Lattice="-1.8750 -2.3541 -1.7014 0.9128 -3.4884 3.8205 -7.2632 4.2599 5.6248" Properties=species:S:1:pos:R:3 pbc="T T T"
Ho -2.5679 -0.5854 1.8849
Ho -5.6575 -0.9972 5.8590
Nd -1.4747 -4.0984 2.0280
Nd -6.7508 2.5159 5.7159
Sc -4.1883 -3.0763 3.6096
Sc -4.0371 1.4937 4.1343
```

Output
- Calculated formation energy: 36 meV/atom
- Calculated total energy: -31.14 eV per cell